--- w ---
Here is a relaxed TlCd6In crystal from Alexandria. Energies are from PBE-GGA.

Results
* Fermi-level density of states: 3.12 states/eV/cell

abc: 4.4922 4.4922 9.7121
angles: 90.00 90.00 90.00
Last column: nearest neighbours and their distance in Å.
Space group P4/mmm (No. 123)
Symmetry-distinct sites (fractional):
Tl 0.0000 0.0000 0.0000 (multiplicity 1)  12 Cd 3.18-3.36
Cd 0.0000 0.5000 0.2568 (multiplicity 4)  8 Cd 3.18-3.36, 2 In 3.26, 2 Tl 3.36
Cd 0.5000 0.5000 0.0000 (multiplicity 1)  4 Tl 3.18, 8 Cd 3.36
Cd 0.5000 0.5000 0.5000 (multiplicity 1)  4 In 3.18, 8 Cd 3.26
In 0.0000 0.0000 0.5000 (multiplicity 1)  12 Cd 3.18-3.26

---

--- x ---
Here is a relaxed TlCd6In crystal from Alexandria. Energies are from PBE-GGA.

Results
* Fermi-level density of states: 3.34 states/eV/cell

abc: 5.8584 5.8584 5.8584
angles: 90.00 90.00 90.00
Last column: nearest neighbours and their distance in Å.
Space group Pm-3 (No. 200)
Symmetry-distinct sites (fractional):
Tl 0.0000 0.0000 0.0000 (multiplicity 1)  12 Cd 3.28
Cd 0.0000 0.2510 0.5000 (multiplicity 6)  2 Cd 2.92-2.94
In 0.5000 0.5000 0.5000 (multiplicity 1)  12 Cd 3.27

---

Which structure is the most stable? The one labeled w.

---

--- w ---
Here is a relaxed Tl3Cd2In7 crystal from Alexandria. Energies are from PBE-GGA.

Results
* Fermi-level density of states: 4.10 states/eV/cell

abc: 5.8466 3.3471 17.2437
angles: 90.00 95.63 90.00
Last column: nearest neighbours and their distance in Å.
Space group P2/m (No. 10)
Symmetry-distinct sites (fractional):
Tl 0.0000 0.0000 0.0000 (multiplicity 1)  2 Tl 3.35, 10 In 3.37-3.41
Tl 0.2446 0.5000 0.3513 (multiplicity 2)  2 Tl 3.35, 5 In 3.42-3.74, 4 Cd 3.44-3.47
Cd 0.2653 0.0000 0.6942 (multiplicity 2)  4 In 2.92-3.15
In 0.1222 0.5000 0.8365 (multiplicity 2)  2 Cd 3.15, 7 In 3.30-3.44, 2 Tl 3.41
In 0.2547 0.0000 0.5247 (multiplicity 2)  1 Cd 2.92, 2 In 3.02-3.07
In 0.3645 0.0000 0.1659 (multiplicity 2)  1 Cd 3.08, 6 In 3.30-3.44, 1 Tl 3.40
In 0.5000 0.5000 0.0000 (multiplicity 1)  8 In 3.35-3.47, 4 Tl 3.37

---

--- x ---
Here is a relaxed Tl3Cd2In7 crystal from Alexandria. Energies are from PBE-GGA.

Results
* Fermi-level density of states: 17.60 states/eV/cell

abc: 6.3788 6.3788 29.7760
angles: 90.00 90.00 120.00
Last column: nearest neighbours and their distance in Å.
Space group R-3m (No. 166, hexagonal axes)
Symmetry-distinct sites (fractional):
Tl 0.0000 0.0000 0.0000 (multiplicity 3)  6 Cd 3.68, 12 In 4.04
Tl 0.0000 0.0000 0.1410 (multiplicity 6)  12 In 3.62-3.76, 3 Tl 3.99
Cd 0.0000 0.0000 0.3355 (multiplicity 6)  6 In 3.07-3.12
In 0.0000 0.0000 0.5000 (multiplicity 3)  6 In 3.11
In 0.0080 0.5040 0.9165 (multiplicity 18)  2 Cd 3.07-3.12, 5 In 3.11-3.27

---

Which structure is the most stable? The one labeled w.

---

--- w ---
Here is a relaxed TlCd4In4 crystal from Alexandria. Energies are from PBE-GGA.

Results
* Fermi-level density of states: 8.04 states/eV/cell

abc: 9.8190 9.8190 4.7939
angles: 90.00 90.00 90.00
Last column: nearest neighbours and their distance in Å.
Space group I4/mmm (No. 139)
Symmetry-distinct sites (fractional):
Tl 0.0000 0.0000 0.0000 (multiplicity 2)  4 Cd 3.36, 8 In 3.37
Cd 0.0000 0.3423 0.0000 (multiplicity 8)  5 Cd 3.10-3.25, 6 In 3.23-3.38, 1 Tl 3.36
In 0.1710 0.1710 0.5000 (multiplicity 8)  6 Cd 3.23-3.38, 4 In 3.25-3.36, 2 Tl 3.37

---

--- x ---
Here is a relaxed TlCd4In4 crystal from Alexandria. Energies are from PBE-GGA.

Results
* Fermi-level density of states: 10.86 states/eV/cell

abc: 6.5339 6.5339 11.8326
angles: 90.00 90.00 90.00
Last column: nearest neighbours and their distance in Å.
Space group P4_2/nmc (No. 137, origin choice 2)
Symmetry-distinct sites (fractional):
Tl 0.2500 0.7500 0.2500 (multiplicity 2)  8 In 3.68, 4 Cd 3.71
Cd 0.0146 0.2500 0.0274 (multiplicity 8)  4 In 3.07-3.22, 3 Cd 3.08-3.34
In 0.0276 0.2500 0.3221 (multiplicity 8)  3 In 2.91-3.08, 4 Cd 3.07-3.22

---

Which structure is the most stable? The one labeled w.

---

--- w ---
Here is a relaxed TlCd3In3 crystal from Alexandria. Energies are from PBE-GGA.

Results
* Fermi-level density of states: 17.33 states/eV/cell

abc: 8.5432 8.5432 17.6167
angles: 90.00 90.00 120.00
Last column: nearest neighbours and their distance in Å.
Space group R-3 (No. 148, hexagonal axes)
Symmetry-distinct sites (fractional):
Tl 0.0000 0.0000 0.0962 (multiplicity 6)  3 Cd 3.24, 6 In 3.26-3.46, 1 Tl 3.39
Cd 0.0418 0.8041 0.5692 (multiplicity 18)  4 In 3.00-3.29, 4 Cd 3.08-3.25, 1 Tl 3.24
In 0.0396 0.7998 0.7395 (multiplicity 18)  4 Cd 3.00-3.29, 1 Tl 3.26, 2 In 3.29

---

--- x ---
Here is a relaxed TlCd3In3 crystal from Alexandria. Energies are from PBE-GGA.

Results
* Fermi-level density of states: 10.94 states/eV/cell

abc: 8.0819 8.0819 8.0819
angles: 90.00 90.00 90.00
Last column: nearest neighbours and their distance in Å.
Space group Pm-3n (No. 223)
Symmetry-distinct sites (fractional):
Tl 0.0000 0.0000 0.0000 (multiplicity 2)  12 Cd 4.52, 12 In 4.52
Cd 0.0000 0.2500 0.5000 (multiplicity 6)  4 In 2.86
In 0.0000 0.5000 0.2500 (multiplicity 6)  4 Cd 2.86

---

Which structure is the most stable? The one labeled w.

---

--- w ---
Here is a relaxed Tl8Cd2In crystal from Alexandria. Energies are from PBE-GGA.

Results
* Fermi-level density of states: 11.43 states/eV/cell

abc: 15.6123 9.1397 4.8426
angles: 90.00 107.65 90.00
Last column: nearest neighbours and their distance in Å.
Space group C2/m (No. 12)
Symmetry-distinct sites (fractional):
Tl 0.0000 0.1867 0.0000 (multiplicity 4)  2 Cd 3.37, 7 Tl 3.39-3.62, 2 In 3.75
Tl 0.1484 0.5000 0.1476 (multiplicity 4)  2 In 3.27-3.29, 2 Cd 3.35-3.36, 8 Tl 3.50-3.62
Tl 0.1598 0.2215 0.6602 (multiplicity 8)  3 Cd 3.19-3.33, 5 Tl 3.39-3.52, 1 In 3.48
Cd 0.1953 0.0000 0.1974 (multiplicity 4)  10 Tl 3.19-3.37
In 0.0000 0.5000 0.5000 (multiplicity 2)  8 Tl 3.27-3.48

---

--- x ---
Here is a relaxed Tl8Cd2In crystal from Alexandria. Energies are from PBE-GGA.

Results
* Fermi-level density of states: 10.78 states/eV/cell

abc: 13.4740 10.0518 5.4261
angles: 90.00 102.53 90.00
Last column: nearest neighbours and their distance in Å.
Space group C2/m (No. 12)
Symmetry-distinct sites (fractional):
Tl 0.0813 0.2264 0.2952 (multiplicity 8)  1 Cd 3.20, 6 Tl 3.24-3.56, 1 In 3.24
Tl 0.1069 0.0000 0.8090 (multiplicity 4)  8 Tl 3.34-3.56, 1 Cd 3.49
Tl 0.2439 0.5000 0.6085 (multiplicity 4)  2 Cd 3.08-3.14, 1 In 3.21, 4 Tl 3.24-3.36
Cd 0.1280 0.5000 0.0396 (multiplicity 4)  2 In 3.06-3.33, 4 Tl 3.08-3.20, 1 Cd 3.38
In 0.0000 0.5000 0.5000 (multiplicity 2)  4 Cd 3.06-3.33, 6 Tl 3.21-3.24

---

Which structure is the most stable? The one labeled w.

---

--- w ---
Here is a relaxed Tl3Cd2In crystal from Alexandria. Energies are from PBE-GGA.

Results
* Fermi-level density of states: 4.94 states/eV/cell

abc: 4.4932 4.5703 16.9781
angles: 90.00 90.00 90.00
Last column: nearest neighbours and their distance in Å.
Space group Immm (No. 71)
Symmetry-distinct sites (fractional):
Tl 0.0000 0.0000 0.0000 (multiplicity 2)  4 In 3.20, 4 Cd 3.28
Tl 0.0000 0.5000 0.3251 (multiplicity 4)  5 Cd 3.17-3.26
Cd 0.0000 0.5000 0.1385 (multiplicity 4)  7 Tl 3.17-3.28, 2 In 3.25
In 0.0000 0.0000 0.5000 (multiplicity 2)  4 Tl 3.20, 4 Cd 3.25

---

--- x ---
Here is a relaxed Tl3Cd2In crystal from Alexandria. Energies are from PBE-GGA.

Results
* Fermi-level density of states: 8.92 states/eV/cell

abc: 19.3476 3.3761 11.4751
angles: 90.00 117.13 90.00
Last column: nearest neighbours and their distance in Å.
Space group C2/m (No. 12)
Symmetry-distinct sites (fractional):
Tl 0.0694 0.0000 0.4359 (multiplicity 4)  2 In 3.37, 9 Tl 3.38-3.63
Tl 0.1100 0.5000 0.7405 (multiplicity 4)  5 Cd 3.28-3.54, 7 Tl 3.38-3.63
Tl 0.2488 0.5000 0.6352 (multiplicity 4)  2 In 3.35, 7 Tl 3.38-3.59, 2 Cd 3.44
Cd 0.0688 0.0000 0.9456 (multiplicity 4)  5 Cd 3.13-3.42, 4 In 3.15-3.21, 2 Tl 3.28
Cd 0.2214 0.5000 0.0851 (multiplicity 4)  6 Cd 3.13-3.38, 4 Tl 3.40-3.44, 1 In 3.40
In 0.0852 0.5000 0.1950 (multiplicity 4)  5 Cd 3.15-3.40, 4 Tl 3.35-3.37, 2 In 3.38

---

Which structure is the most stable? The one labeled x.

---

--- w ---
Here is a relaxed TlCdIn4 crystal from Alexandria. Energies are from PBE-GGA.

Results
* Fermi-level density of states: 4.98 states/eV/cell

abc: 9.1869 4.4799 8.2032
angles: 90.00 90.00 90.00
Last column: nearest neighbours and their distance in Å.
Space group Pmma (No. 51)
Symmetry-distinct sites (fractional):
Tl 0.2500 0.0000 0.1396 (multiplicity 2)  1 Cd 3.16, 6 In 3.41-3.42
Cd 0.2500 0.0000 0.7539 (multiplicity 2)  8 In 3.07-3.33, 1 Tl 3.16
In 0.0000 0.0000 0.5000 (multiplicity 2)  2 Cd 3.10, 8 In 3.23-3.41
In 0.0276 0.5000 0.8117 (multiplicity 4)  2 Cd 3.07, 4 In 3.13-3.41, 2 Tl 3.42
In 0.2500 0.5000 0.4537 (multiplicity 2)  8 In 3.23-3.58, 2 Cd 3.33, 2 Tl 3.41

---

--- x ---
Here is a relaxed TlCdIn4 crystal from Alexandria. Energies are from PBE-GGA.

Results
* Fermi-level density of states: 12.62 states/eV/cell

abc: 8.8535 8.8535 8.8535
angles: 90.00 90.00 90.00
Last column: nearest neighbours and their distance in Å.
Space group F-43m (No. 216)
Symmetry-distinct sites (fractional):
Tl 0.0000 0.0000 0.0000 (multiplicity 4)  12 In 3.67, 4 Cd 3.83
Cd 0.2500 0.2500 0.7500 (multiplicity 4)  12 In 3.67, 4 Tl 3.83
In 0.1249 0.1249 0.3751 (multiplicity 16)  6 In 3.13

---

--- y ---
Here is a relaxed TlCdIn4 crystal from Alexandria. Energies are from PBE-GGA.

Results
* Fermi-level density of states: 4.12 states/eV/cell

abc: 10.5831 4.6077 6.9604
angles: 90.00 106.76 90.00
Last column: nearest neighbours and their distance in Å.
Space group C2/m (No. 12)
Symmetry-distinct sites (fractional):
Tl 0.0000 0.0000 0.0000 (multiplicity 2)  10 In 3.32-3.41, 2 Cd 3.48
Cd 0.0000 0.0000 0.5000 (multiplicity 2)  10 In 3.30-3.36, 2 Tl 3.48
In 0.1640 0.5000 0.8241 (multiplicity 4)  7 In 3.30-3.58, 3 Tl 3.32-3.41, 2 Cd 3.34
In 0.1689 0.5000 0.3399 (multiplicity 4)  3 Cd 3.30-3.36, 7 In 3.30-3.58, 2 Tl 3.41

---

Which structure is the most stable? The one labeled y.

---

--- w ---
Here is a relaxed Tl2Cd2In3 crystal from Alexandria. Energies are from PBE-GGA.

Results
* Fermi-level density of states: 4.74 states/eV/cell

abc: 10.6208 4.6440 7.8189
angles: 90.00 100.34 90.00
Last column: nearest neighbours and their distance in Å.
Space group C2/m (No. 12)
Symmetry-distinct sites (fractional):
Tl 0.0731 0.0000 0.2107 (multiplicity 4)  6 In 3.31-3.47, 5 Cd 3.34-3.38, 1 Tl 3.38
Cd 0.1474 0.5000 0.9309 (multiplicity 4)  3 Cd 3.23-3.49, 5 Tl 3.34-3.38, 4 In 3.36-3.45
In 0.0000 0.5000 0.5000 (multiplicity 2)  6 In 3.29-3.47, 4 Tl 3.43, 2 Cd 3.45
In 0.2105 0.0000 0.6482 (multiplicity 4)  5 In 3.29-3.49, 4 Tl 3.31-3.47, 3 Cd 3.36-3.37

---

--- x ---
Here is a relaxed Tl2Cd2In3 crystal from Alexandria. Energies are from PBE-GGA.

Results
* Fermi-level density of states: 5.93 states/eV/cell

abc: 11.0831 4.7336 8.1601
angles: 90.00 112.68 90.00
Last column: nearest neighbours and their distance in Å.
Space group C2/m (No. 12)
Symmetry-distinct sites (fractional):
Tl 0.1431 0.0000 0.2956 (multiplicity 4)  4 Cd 3.24-3.34, 4 In 3.60-3.62
Cd 0.1596 0.0000 0.7128 (multiplicity 4)  5 In 3.01-3.14, 4 Tl 3.24-3.34
In 0.0000 0.5000 0.5000 (multiplicity 2)  4 Cd 3.06, 2 In 3.27
In 0.1130 0.5000 0.9343 (multiplicity 4)  3 Cd 3.01-3.14, 2 In 3.08-3.27

---

Which structure is the most stable? The one labeled w.

---

--- w ---
Here is a relaxed TlCd2In4 crystal from Alexandria. Energies are from PBE-GGA.

Results
* Fermi-level density of states: 5.03 states/eV/cell

abc: 4.5940 18.6992 4.5563
angles: 90.00 90.00 90.00
Last column: nearest neighbours and their distance in Å.
Space group Cmmm (No. 65)
Symmetry-distinct sites (fractional):
Tl 0.0000 0.0000 0.0000 (multiplicity 2)  8 Cd 3.52
Cd 0.0000 0.4253 0.5000 (multiplicity 4)  1 Cd 2.79, 4 In 3.05-3.09
In 0.0000 0.1824 0.5000 (multiplicity 4)  2 Cd 3.05, 8 In 3.24-3.42
In 0.0000 0.3134 0.0000 (multiplicity 4)  2 Cd 3.09, 8 In 3.24-3.35

---

--- x ---
Here is a relaxed TlCd2In4 crystal from Alexandria. Energies are from PBE-GGA.

Results
* Fermi-level density of states: 2.87 states/eV/cell

abc: 10.0171 7.7392 5.6736
angles: 90.00 119.70 90.00
Last column: nearest neighbours and their distance in Å.
Space group C2/m (No. 12)
Symmetry-distinct sites (fractional):
Tl 0.0000 0.0000 0.0000 (multiplicity 2)  12 In 3.50-3.76
Cd 0.0067 0.5000 0.2523 (multiplicity 4)  2 Cd 2.80-2.88
In 0.1922 0.1978 0.6978 (multiplicity 8)  4 In 3.06-3.36, 3 Cd 3.17-3.27

---

Which structure is the most stable? The one labeled x.

---

--- w ---
Here is a relaxed TlCd12In6 crystal from Alexandria. Energies are from PBE-GGA.

Results
* Fermi-level density of states: 20.40 states/eV/cell

abc: 14.1632 14.1632 8.0915
angles: 90.00 90.00 120.00
Last column: nearest neighbours and their distance in Å.
Space group R-3 (No. 148, hexagonal axes)
Symmetry-distinct sites (fractional):
Tl 0.0000 0.0000 0.0000 (multiplicity 3)  12 Cd 3.27-3.30
Cd 0.0178 0.1407 0.6642 (multiplicity 18)  4 In 3.21-3.29, 7 Cd 3.23-3.34, 1 Tl 3.30
Cd 0.0686 0.5601 0.6633 (multiplicity 18)  6 Cd 3.22-3.34, 5 In 3.23-3.32, 1 Tl 3.27
In 0.0346 0.2774 0.3328 (multiplicity 18)  9 Cd 3.21-3.32, 3 In 3.25-3.32

---

--- x ---
Here is a relaxed TlCd12In6 crystal from Alexandria. Energies are from PBE-GGA.

Results
* Fermi-level density of states: 14.58 states/eV/cell

abc: 13.5768 13.5768 9.4907
angles: 90.00 90.00 120.00
Last column: nearest neighbours and their distance in Å.
Space group R-3m (No. 166, hexagonal axes)
Symmetry-distinct sites (fractional):
Tl 0.0000 0.0000 0.0000 (multiplicity 3)  6 Cd 3.13
Cd 0.0000 0.3897 0.5000 (multiplicity 18)  3 Cd 2.99-3.14, 4 In 3.07-3.11
Cd 0.0791 0.1583 0.2657 (multiplicity 18)  4 In 3.05-3.22, 1 Tl 3.13, 4 Cd 3.14-3.22
In 0.0679 0.5340 0.2252 (multiplicity 18)  8 Cd 3.05-3.22, 2 In 3.31

---

Which structure is the most stable? The one labeled w.